(1)
Material: YZnP3
Method: DFT, PBEsol
State: relaxed

final energy: -21.5 eV/cell
ΔE_f: 0.8514 eV/atom
V: 27.30 Å³/atom
N(E_F): 3.965 states/eV/f.u.

Cell lengths 5.149, 5.149, 5.149 Å; angles 90.00, 90.00, 90.00 degrees
Space group Pm-3m (No. 221)
Symmetry-distinct sites (fractional):
Y 0.000 0.000 0.000
Zn 0.500 0.500 0.500
P 0.000 0.000 0.500

(2)
Material: YZrP2
Method: DFT, PBEsol
State: relaxed

final energy: -33.5 eV/cell
energy above the most stable polymorph in this dataset: 0.046 eV per atom
ΔE_f: -1.5050 eV/atom
V: 19.66 Å³/atom
N(E_F): 1.229 states/eV/f.u.

Cell lengths 3.822, 3.822, 5.382 Å; angles 90.00, 90.00, 90.00 degrees
Space group P4/mmm (No. 123)
Symmetry-distinct sites (fractional):
Y 0.000 0.000 0.000
Zr 0.500 0.500 0.500
P 0.000 0.000 0.500
P 0.500 0.500 0.000

(3)
Material: YZrP2
Method: DFT, PBEsol
State: relaxed

final energy: -101.1 eV/cell
energy above the most stable polymorph in this dataset: 0.000 eV per atom
ΔE_f: -1.5505 eV/atom
V: 19.68 Å³/atom
N(E_F): 1.439 states/eV/f.u.

Cell lengths 3.8017, 3.8017, 18.8652 Å; angles 90.00, 90.00, 120.00 degrees
Space group R-3m (No. 166, hexagonal axes)
Symmetry-distinct sites (fractional):
Y 0.0000 0.0000 0.0000
Zr 0.0000 0.0000 0.5000
P 0.0000 0.0000 0.2452